Compound: Sr2CaCl
Source: Alexandria via LeMat-Bulk
Functional: PBE
Structure: relaxed

POSCAR file:
```
Sr2CaCl
1.0
-2.6777 2.6777 6.0766
2.6777 -2.6777 6.0766
2.6777 2.6777 -6.0766
Sr Ca Cl
2 1 1
Cartesian
2.6777 0.0000 3.0383 Sr
0.0000 2.6777 3.0383 Sr
0.0000 0.0000 0.0000 Ca
0.0000 0.0000 6.0766 Cl
```

Values from the calculation:
Calculated volume (Å³/cell): 174
Total DFT energy (no corrections) (eV per atom): -2.16
Magnetic moment (μB per formula unit): 0.0
E_form (uncorrected) (eV/f.u.): -1.41
E above lowest polymorph (eV per atom): 0.461